The following is a PBE calculation of CoPAu3 after structural relaxation, from Alexandria via LeMat-Bulk.

## Properties
* density of states at the Fermi level: 5.996 states/eV per cell
* space-group type: Pm-3m, No. 221
* ΔE to the lowest computed polymorph: 395.2 meV/atom
* energy relative to the elements: 1.1218 eV per atom

Unit cell a=4.7375 b=4.7375 c=4.7375 alpha=90.00 beta=90.00 gamma=90.00
Closest atoms and distances in Å follow each position.
Fractional positions:
Au: 0.0000 0.5000 0.0000  2 Co 2.37
Co: 0.0000 0.0000 0.0000  6 Au 2.37
P: 0.5000 0.5000 0.5000  12 Au 3.35
Au: 0.5000 0.0000 0.0000  2 Co 2.37
Au: 0.0000 0.0000 0.5000  2 Co 2.37

---

The following is a PBE calculation of CoPAu2 after structural relaxation, from Alexandria via LeMat-Bulk.

## Properties
* density of states at the Fermi level: 4.370 states/eV per cell
* space-group type: I-4m2, No. 119
* ΔE to the lowest computed polymorph: 397.3 meV/atom
* energy relative to the elements: 0.4153 eV per atom

Unit cell a=4.8090 b=4.8090 c=4.8090 alpha=130.81 beta=130.81 gamma=72.12
Closest atoms and distances in Å follow each position.
Fractional positions:
Co: 0.5000 0.5000 0.0000  8 Au 2.79-2.83, 4 P 2.79
Au: 0.2500 0.7500 0.5000  4 Co 2.79, 4 Au 2.79, 4 P 2.83
P: 0.7500 0.2500 0.5000  4 Co 2.79, 8 Au 2.79-2.83
Au: 0.0000 0.0000 0.0000  4 P 2.79, 4 Au 2.79, 4 Co 2.83

---

The following is a PBE calculation of Co2PAu after structural relaxation, from Alexandria via LeMat-Bulk.

## Properties
* density of states at the Fermi level: 4.011 states/eV per cell
* space-group type: P4mm, No. 99
* ΔE to the lowest computed polymorph: 260.9 meV/atom
* energy relative to the elements: 0.1228 eV per atom

Unit cell a=2.7124 b=2.7124 c=7.7394 alpha=90.00 beta=90.00 gamma=90.00
Closest atoms and distances in Å follow each position.
Fractional positions:
Au: 0.5000 0.5000 0.7868  4 Au 2.71, 4 Co 2.74
P: 0.0000 0.0000 0.4203  4 Co 2.32
Co: 0.5000 0.5000 0.2527  4 P 2.32, 4 Co 2.53
Co: 0.0000 0.0000 0.0402  8 Co 2.53-2.71, 4 Au 2.74

---

The following is a PBE calculation of CoP2Au after structural relaxation, from Alexandria via LeMat-Bulk.

## Properties
* density of states at the Fermi level: 3.813 states/eV per cell
* space-group type: P4/mmm, No. 123
* ΔE to the lowest computed polymorph: 602.6 meV/atom
* energy relative to the elements: 0.4393 eV per atom

Unit cell a=4.1619 b=4.1574 c=3.3140 alpha=90.00 beta=90.00 gamma=90.00
Closest atoms and distances in Å follow each position.
Fractional positions:
Co: 0.0000 0.5000 0.5000  8 P 2.66, 4 Au 2.94
Au: 0.5000 0.0000 0.5000  8 P 2.66, 4 Co 2.94
P: 0.0000 0.0000 0.0000  4 Co 2.66, 4 Au 2.66, 4 P 2.94
P: 0.5000 0.5000 0.0000  4 Au 2.66, 4 Co 2.66, 4 P 2.94

---

Q: What is the ΔE to the lowest computed polymorph in the fourth record?
A: 602.6 meV/atom

---

Q: The highest energy relative to the elements belongs to which entry?
A: CoPAu3